# 1
AlZnS: optimized geometry, PBE-GGA.

As for the energy relative to the elements, uncorrected: -0.22 eV per atom.

abc: 3.387 3.387 10.585
angles: 90.00 90.00 120.00
Positions (direct):
1 Al 0.000 0.000 0.000
2 Al 0.333 0.667 0.500
3 Zn 0.000 0.000 0.322
4 Zn 0.000 0.000 0.678
5 S 0.333 0.667 0.856
6 S 0.333 0.667 0.144


# 2
AlZn2S4: optimized geometry, PBE-GGA.

As for the energy relative to the elements, uncorrected: -0.68 eV per atom.

abc: 5.406 5.406 5.098
angles: 90.00 90.00 90.00
Positions (direct):
1 Al 0.000 0.000 0.000
2 Zn 0.500 0.000 0.500
3 Zn 0.000 0.500 0.500
4 S 0.747 0.253 0.766
5 S 0.253 0.253 0.234
6 S 0.253 0.747 0.766
7 S 0.747 0.747 0.234


# 3
Al2ZnS4: optimized geometry, PBE-GGA.

As for the energy relative to the elements, uncorrected: -0.87 eV per atom.

abc: 3.687 3.687 26.207
angles: 90.00 90.00 120.00
Positions (direct):
1 Al 0.000 0.000 0.749
2 Al 0.000 0.000 0.251
3 Al 0.667 0.333 0.889
4 Al 0.333 0.667 0.111
5 Zn 0.667 0.333 0.403
6 Zn 0.333 0.667 0.597
7 S 0.667 0.333 0.293
8 S 0.333 0.667 0.707
9 S 0.667 0.333 0.575
10 S 0.333 0.667 0.425
11 S 0.667 0.333 0.805
12 S 0.333 0.667 0.195
13 S 0.667 0.333 0.075
14 S 0.333 0.667 0.925